Record 1
Here is a geometry-optimized ScGaHgPt structure from the Alexandria database. Energies are from PBE.

Unit cell a=4.693 b=4.693 c=4.693 alpha=60.00 beta=60.00 gamma=60.00
Fractional coordinates of all 4 atoms:
Ga (0.500, 0.500, 0.500)
Sc (0.000, 0.000, 0.000)
Hg (0.750, 0.750, 0.750)
Pt (0.250, 0.250, 0.250)

**Formation energy**: -0.56 eV/atom
**Mass density**: 11.6 g/cm³
**N(E_F)**: 0.4047 states/eV/atom
**Crystal system**: cubic
**SG**: No. 216

---

Record 2
Here is a geometry-optimized NbMoP2 structure from the Alexandria database. Energies are from PBE.

Unit cell a=5.436 b=5.436 c=6.838 alpha=66.58 beta=66.58 gamma=90.00
Site moments in Bohr magnetons follow the coordinates.
Fractional coordinates of all 8 atoms:
P (0.640, 0.125, 0.250)  -0.02
P (0.110, 0.625, 0.250)  -0.02
P (0.875, 0.890, 0.750)  -0.02
P (0.375, 0.360, 0.750)  -0.02
Mo (0.750, 0.250, 0.500)  0.79
Mo (0.000, 0.000, 0.000)  0.79
Nb (0.500, 0.500, 0.000)  0.28
Nb (0.250, 0.750, 0.500)  0.28

**Formation energy**: 0.09 eV/atom
**Mass density**: 5.0 g/cm³
**N(E_F)**: 1.0936 states/eV/atom
**Crystal system**: tetragonal
**SG**: No. 122

---

Record 3
Here is a geometry-optimized CaCeGeO5 structure from the Alexandria database. Energies are from PBE.

Unit cell a=5.903 b=5.903 c=7.796 alpha=102.32 beta=102.32 gamma=107.18
Fractional coordinates of all 16 atoms:
Ge (0.322, 0.678, 0.750)
Ge (0.678, 0.322, 0.250)
O (0.917, 0.341, 0.142)
O (0.396, 0.279, 0.086)
O (0.659, 0.083, 0.358)
O (0.604, 0.721, 0.914)
O (0.341, 0.917, 0.642)
O (0.097, 0.903, 0.250)
O (0.903, 0.097, 0.750)
O (0.721, 0.604, 0.414)
O (0.083, 0.659, 0.858)
O (0.279, 0.396, 0.586)
Ce (0.000, 0.000, 0.500)
Ce (0.000, 0.000, 0.000)
Ca (0.340, 0.660, 0.250)
Ca (0.660, 0.340, 0.750)

**Mass density**: 4.6 g/cm³
**N(E_F)**: 0.0000 states/eV/atom
**Crystal system**: monoclinic
**Raw formation energy**: -2679 meV per atom
**SG**: No. 15

---

Record 4
Here is a geometry-optimized Tb2HoGa structure from the Alexandria database. Energies are from PBE.

Unit cell a=3.497 b=3.497 c=11.448 alpha=81.21 beta=81.21 gamma=60.00
Site moments in Bohr magnetons follow the coordinates.
Fractional coordinates of all 4 atoms:
Tb (0.102, 0.102, 0.695)  0.10
Tb (0.898, 0.898, 0.305)  0.10
Ho (0.000, 0.000, 0.000)  0.43
Ga (0.500, 0.500, 0.500)  0.00

**Formation energy**: 0.01 eV/atom
**Mass density**: 7.7 g/cm³
**N(E_F)**: 1.2844 states/eV/atom
**Crystal system**: trigonal
**SG**: No. 166

---

Record 5
Here is a geometry-optimized LiAgPt2 structure from the Alexandria database. Energies are from PBE.

Unit cell a=4.954 b=4.954 c=2.764 alpha=90.00 beta=90.00 gamma=113.14
Fractional coordinates of all 4 atoms:
Li (0.000, 0.500, 0.500)
Pt (0.000, 0.000, 0.000)
Pt (0.500, 0.500, 0.000)
Ag (0.500, 0.000, 0.500)

**Formation energy**: -0.25 eV/atom
**Mass density**: 13.4 g/cm³
**N(E_F)**: 0.5815 states/eV/atom
**Crystal system**: orthorhombic
**SG**: No. 65

---

Record 6
Here is a geometry-optimized TiTeHSe structure from the Alexandria database. Energies are from PBE.

Unit cell a=3.354 b=3.354 c=7.869 alpha=90.11 beta=102.22 gamma=119.93
Fractional coordinates of all 4 atoms:
Ti (0.824, 0.276, 0.100)
Se (0.010, 0.869, 0.878)
H (0.505, 0.617, 0.122)
Te (0.354, 0.043, 0.396)

**Mass density**: 5.7 g/cm³
**N(E_F)**: 0.3456 states/eV/atom
**Electronic total energy**: -5.0812 eV per atom
**Crystal system**: monoclinic
**SG**: No. 8

---

Record 7
Here is a geometry-optimized PuAlOs2 structure from the Alexandria database. Energies are from PBE.

Unit cell a=3.091 b=3.091 c=6.825 alpha=90.00 beta=90.00 gamma=90.00
Site moments in Bohr magnetons follow the coordinates.
Fractional coordinates of all 4 atoms:
Os (0.000, 0.000, 0.781)  -0.47
Os (0.000, 0.000, 0.219)  -0.47
Pu (0.500, 0.500, 0.500)  4.30
Al (0.500, 0.500, 0.000)  0.01

**Formation energy**: -0.06 eV/atom
**Mass density**: 16.6 g/cm³
**N(E_F)**: 1.6930 states/eV/atom
**Crystal system**: tetragonal
**SG**: No. 123

---

Record 8
Here is a geometry-optimized Li2ZnRu structure from the Alexandria database. Energies are from PBE.

Unit cell a=5.220 b=5.220 c=5.220 alpha=151.03 beta=128.45 gamma=60.22
Fractional coordinates of all 4 atoms:
Li (0.758, 0.258, 0.500)
Li (0.002, 0.002, 0.000)
Ru (0.497, 0.497, 0.000)
Zn (0.243, 0.743, 0.500)

**Formation energy**: 0.07 eV/atom
**Mass density**: 5.6 g/cm³
**N(E_F)**: 0.5140 states/eV/atom
**Crystal system**: orthorhombic
**SG**: No. 44

---

Record 9
Here is a geometry-optimized BeCo2Si structure from the Alexandria database. Energies are from PBE.

Unit cell a=4.373 b=4.373 c=4.373 alpha=135.75 beta=135.75 gamma=64.36
Site moments in Bohr magnetons follow the coordinates.
Fractional coordinates of all 4 atoms:
Co (0.000, 0.000, 0.000)  0.62
Co (0.250, 0.750, 0.500)  0.66
Si (0.500, 0.500, 0.000)  -0.02
Be (0.750, 0.250, 0.500)  -0.02

**Mass density**: 6.4 g/cm³
**N(E_F)**: 1.0052 states/eV/atom
**Crystal system**: tetragonal
**Raw formation energy**: -315 meV per atom
**SG**: No. 119

---

Record 10
Here is a geometry-optimized TaRe2As2 structure from the Alexandria database. Energies are from PBE.

Unit cell a=3.686 b=3.686 c=6.850 alpha=74.39 beta=74.39 gamma=90.00
Fractional coordinates of all 5 atoms:
As (0.250, 0.750, 0.500)
As (0.750, 0.250, 0.500)
Re (0.601, 0.601, 0.797)
Re (0.399, 0.399, 0.203)
Ta (0.000, 0.000, 0.000)

**Formation energy**: 0.44 eV/atom
**Mass density**: 13.6 g/cm³
**N(E_F)**: 0.6382 states/eV/atom
**Crystal system**: tetragonal
**SG**: No. 139

---

Record 11
Here is a geometry-optimized RbNa2GeI structure from the Alexandria database. Energies are from PBE.

Unit cell a=5.935 b=6.553 c=5.935 alpha=90.00 beta=90.00 gamma=90.00
Site moments in Bohr magnetons follow the coordinates.
Fractional coordinates of all 5 atoms:
Na (0.500, 0.000, 0.000)  -0.01
Na (0.000, 0.000, 0.500)  0.00
I (0.000, 0.000, 0.000)  0.01
Ge (0.000, 0.500, 0.000)  0.44
Rb (0.500, 0.500, 0.500)  0.01

**Mass density**: 2.4 g/cm³
**N(E_F)**: 0.7077 states/eV/atom
**Crystal system**: tetragonal
**Raw formation energy**: 29 meV per atom
**SG**: No. 123

---

Record 12
Here is a geometry-optimized DySiAgO4 structure from the Alexandria database. Energies are from PBE.

Unit cell a=5.802 b=6.068 c=6.726 alpha=90.00 beta=103.39 gamma=90.00
Fractional coordinates of all 14 atoms:
O (0.089, 0.960, 0.332)
O (0.459, 0.750, 0.575)
O (0.911, 0.460, 0.668)
O (0.089, 0.540, 0.332)
O (0.911, 0.040, 0.668)
O (0.532, 0.250, 0.795)
O (0.541, 0.250, 0.425)
O (0.468, 0.750, 0.205)
Si (0.272, 0.750, 0.347)
Si (0.728, 0.250, 0.653)
Ag (0.556, 0.250, 0.113)
Ag (0.444, 0.750, 0.887)
Dy (0.806, 0.750, 0.463)
Dy (0.194, 0.250, 0.537)

**Mass density**: 5.2 g/cm³
**N(E_F)**: 0.0000 states/eV/atom
**Crystal system**: monoclinic
**Raw formation energy**: -2459 meV per atom
**SG**: No. 11

---

Record 13
Here is a geometry-optimized In2RuRh structure from the Alexandria database. Energies are from PBE.

Unit cell a=4.549 b=4.549 c=3.260 alpha=90.00 beta=90.00 gamma=90.00
Fractional coordinates of all 4 atoms:
In (0.500, 0.500, 0.000)
In (0.000, 0.000, 0.000)
Ru (0.000, 0.500, 0.500)
Rh (0.500, 0.000, 0.500)

**Formation energy**: -0.20 eV/atom
**Mass density**: 10.7 g/cm³
**N(E_F)**: 0.5016 states/eV/atom
**Crystal system**: tetragonal
**SG**: No. 123

---

Record 14
Here is a geometry-optimized MgAsOsPd2 structure from the Alexandria database. Energies are from PBE.

Unit cell a=4.499 b=4.748 c=4.499 alpha=90.00 beta=90.00 gamma=90.00
Site moments in Bohr magnetons follow the coordinates.
Fractional coordinates of all 5 atoms:
Pd (0.500, 0.000, 0.000)  0.08
Pd (0.000, 0.000, 0.500)  0.04
Mg (0.000, 0.000, 0.000)  -0.01
Os (0.000, 0.500, 0.000)  1.14
As (0.500, 0.500, 0.500)  -0.02

**Formation energy**: 1.25 eV/atom
**Mass density**: 8.7 g/cm³
**N(E_F)**: 0.8407 states/eV/atom
**Crystal system**: tetragonal
**SG**: No. 123

---

Record 15
Here is a geometry-optimized La6YAl structure from the Alexandria database. Energies are from PBE.

Unit cell a=6.830 b=8.485 c=8.823 alpha=61.71 beta=92.36 gamma=46.43
Fractional coordinates of all 8 atoms:
La (0.628, 0.216, 0.254)
La (0.156, 0.329, 0.764)
La (0.100, 0.209, 0.202)
La (0.372, 0.784, 0.746)
La (0.900, 0.791, 0.798)
La (0.844, 0.671, 0.236)
Al (0.000, 0.000, 0.000)
Y (0.500, 0.500, 0.500)

**Formation energy**: 0.01 eV/atom
**Mass density**: 5.9 g/cm³
**N(E_F)**: 1.2306 states/eV/atom
**Crystal system**: triclinic
**SG**: No. 2

---

Record 16
Here is a geometry-optimized AcLaTb3Er structure from the Alexandria database. Energies are from PBE.

Unit cell a=5.753 b=10.181 c=7.570 alpha=91.43 beta=90.00 gamma=106.41
Fractional coordinates of all 12 atoms:
Tb (0.167, 0.335, 0.717)
Tb (0.782, 0.563, 0.752)
Tb (0.833, 0.665, 0.283)
Tb (0.218, 0.437, 0.248)
Tb (0.476, 0.953, 0.291)
Tb (0.524, 0.047, 0.709)
Er (0.653, 0.307, 0.456)
Er (0.347, 0.693, 0.544)
Ac (0.642, 0.285, 0.023)
Ac (0.358, 0.715, 0.977)
La (0.954, 0.909, 0.723)
La (0.046, 0.091, 0.277)

**Formation energy**: 0.21 eV/atom
**Mass density**: 7.9 g/cm³
**N(E_F)**: 1.6127 states/eV/atom
**Crystal system**: monoclinic
**SG**: No. 12

---

Record 17
Here is a geometry-optimized Nd12Y6Tm structure from the Alexandria database. Energies are from PBE.

Unit cell a=9.843 b=9.843 c=9.843 alpha=111.74 beta=111.74 gamma=111.74
Fractional coordinates of all 19 atoms:
Nd (0.273, 0.273, 0.912)
Nd (0.500, 0.880, 0.120)
Nd (0.880, 0.500, 0.120)
Nd (0.088, 0.727, 0.727)
Nd (0.727, 0.727, 0.088)
Nd (0.880, 0.120, 0.500)
Nd (0.727, 0.088, 0.727)
Nd (0.120, 0.500, 0.880)
Nd (0.912, 0.273, 0.273)
Nd (0.120, 0.880, 0.500)
Nd (0.500, 0.120, 0.880)
Nd (0.273, 0.912, 0.273)
Y (0.521, 0.273, 0.273)
Y (0.727, 0.727, 0.479)
Y (0.479, 0.727, 0.727)
Y (0.273, 0.273, 0.521)
Y (0.273, 0.521, 0.273)
Y (0.727, 0.479, 0.727)
Tm (0.000, 0.000, 0.000)

**Formation energy**: 0.32 eV/atom
**Mass density**: 6.1 g/cm³
**N(E_F)**: 1.6896 states/eV/atom
**Crystal system**: trigonal
**SG**: No. 166

---

Record 18
Here is a geometry-optimized NaCa4C2 structure from the Alexandria database. Energies are from PBE.

Unit cell a=5.200 b=5.200 c=8.132 alpha=71.35 beta=71.35 gamma=90.00
Site moments in Bohr magnetons follow the coordinates.
Fractional coordinates of all 7 atoms:
C (0.853, 0.853, 0.295)  0.15
C (0.147, 0.147, 0.705)  0.15
Ca (0.306, 0.306, 0.387)  0.03
Ca (0.694, 0.694, 0.613)  0.03
Ca (0.000, 0.500, 0.000)  0.03
Ca (0.500, 0.000, 0.000)  0.03
Na (0.000, 0.000, 0.000)  0.01

**Formation energy**: 1.28 eV/atom
**Mass density**: 1.8 g/cm³
**N(E_F)**: 0.5769 states/eV/atom
**Crystal system**: tetragonal
**SG**: No. 139

---

Record 19
Here is a geometry-optimized Lu2S3O12 structure from the Alexandria database. Energies are from PBE.

Unit cell a=9.428 b=9.428 c=9.428 alpha=57.58 beta=57.58 gamma=57.58
Fractional coordinates of all 34 atoms:
O (0.270, 0.508, 0.124)
O (0.730, 0.492, 0.876)
O (0.563, 0.804, 0.410)
O (0.937, 0.090, 0.696)
O (0.910, 0.304, 0.063)
O (0.090, 0.696, 0.937)
O (0.124, 0.270, 0.508)
O (0.063, 0.910, 0.304)
O (0.804, 0.410, 0.563)
O (0.992, 0.230, 0.376)
O (0.696, 0.937, 0.090)
O (0.770, 0.624, 0.008)
O (0.008, 0.770, 0.624)
O (0.196, 0.590, 0.437)
O (0.492, 0.876, 0.730)
O (0.508, 0.124, 0.270)
O (0.590, 0.437, 0.196)
O (0.230, 0.376, 0.992)
O (0.376, 0.992, 0.230)
O (0.304, 0.063, 0.910)
O (0.876, 0.730, 0.492)
O (0.624, 0.008, 0.770)
O (0.410, 0.563, 0.804)
O (0.437, 0.196, 0.590)
Lu (0.856, 0.856, 0.856)
Lu (0.356, 0.356, 0.356)
Lu (0.144, 0.144, 0.144)
Lu (0.644, 0.644, 0.644)
S (0.035, 0.750, 0.465)
S (0.965, 0.250, 0.535)
S (0.250, 0.535, 0.965)
S (0.465, 0.035, 0.750)
S (0.535, 0.965, 0.250)
S (0.750, 0.465, 0.035)

**Mass density**: 3.8 g/cm³
**N(E_F)**: 0.0000 states/eV/atom
**Crystal system**: trigonal
**Raw formation energy**: -2188 meV per atom
**SG**: No. 167

---

Record 20
Here is a geometry-optimized Na8Ag2Au structure from the Alexandria database. Energies are from PBE.

Unit cell a=5.064 b=7.779 c=8.816 alpha=116.18 beta=106.69 gamma=90.00
Fractional coordinates of all 11 atoms:
Na (0.158, 0.158, 0.316)
Na (0.842, 0.842, 0.684)
Na (0.000, 0.289, 0.000)
Na (0.350, 0.576, 0.700)
Na (0.350, 0.124, 0.700)
Na (0.650, 0.424, 0.300)
Na (0.650, 0.876, 0.300)
Na (0.000, 0.711, 0.000)
Ag (0.189, 0.689, 0.378)
Ag (0.811, 0.311, 0.622)
Au (0.500, 0.000, 0.000)

**Formation energy**: -0.07 eV/atom
**Mass density**: 3.4 g/cm³
**N(E_F)**: 0.2200 states/eV/atom
**Crystal system**: orthorhombic
**SG**: No. 71